[1]
## Ti2VB2 (PBE)

Data for a geometry-optimized Ti2VB2 structure.

## Properties
E_form = -0.6308 eV/atom
distance to the lowest polymorph of the same formula = 0.00 kJ/mol of atoms

Lattice parameters (Å, degrees): 5.936 5.936 3.164 90.00 90.00 90.00
Atoms (fractional coordinates):
B  0.107  0.393  0.000
B  0.393  0.893  0.000
B  0.607  0.107  0.000
B  0.893  0.607  0.000
V  0.000  0.000  0.000
V  0.500  0.500  0.000
Ti  0.182  0.682  0.500
Ti  0.818  0.318  0.500
Ti  0.682  0.818  0.500
Ti  0.318  0.182  0.500

---

[2]
## Co2Cu2Mo (PBE)

Data for a geometry-optimized Co2Cu2Mo structure.

## Properties
E_form = 0.3474 eV/atom
distance to the lowest polymorph of the same formula = 1.00 kJ/mol of atoms

Lattice parameters (Å, degrees): 6.876 6.876 2.612 90.00 90.00 90.00
Each line ends with the local moment (μB).
Atoms (fractional coordinates):
Mo  0.500  0.500  0.000  0.00
Mo  0.000  0.000  0.000  0.01
Co  0.325  0.175  0.500  1.25
Co  0.825  0.325  0.500  1.28
Co  0.675  0.825  0.500  1.25
Co  0.175  0.675  0.500  1.28
Cu  0.124  0.376  0.000  0.08
Cu  0.624  0.124  0.000  0.08
Cu  0.376  0.876  0.000  0.08
Cu  0.876  0.624  0.000  0.08

---

[3]
## CoHSe2Br (PBE)

Data for a geometry-optimized CoHSe2Br structure.

## Properties
distance to the lowest polymorph of the same formula = 6.71 kJ/mol of atoms

Lattice parameters (Å, degrees): 4.606 4.606 5.248 90.00 90.00 90.00
Each line ends with the local moment (μB).
Atoms (fractional coordinates):
Se  0.500  0.000  0.000  -0.24
Se  0.000  0.500  0.000  -0.24
Br  0.000  0.000  0.500  0.07
H  0.500  0.500  0.500  0.36
Co  0.000  0.000  0.000  -1.12

---

[4]
## Li2HgB2Pd5 (PBE)

Data for a geometry-optimized Li2HgB2Pd5 structure.

## Properties
E_form = -0.3207 eV/atom

Lattice parameters (Å, degrees): 2.974 9.873 9.873 90.00 90.00 90.00
Atoms (fractional coordinates):
B  0.000  0.377  0.123
B  0.000  0.623  0.877
B  0.000  0.123  0.623
B  0.000  0.877  0.377
Pd  0.500  0.729  0.429
Pd  0.500  0.071  0.771
Pd  0.500  0.929  0.229
Pd  0.500  0.229  0.071
Pd  0.500  0.000  0.500
Pd  0.500  0.771  0.929
Pd  0.500  0.271  0.571
Pd  0.500  0.429  0.271
Pd  0.500  0.571  0.729
Pd  0.500  0.500  0.000
Li  0.000  0.177  0.323
Li  0.000  0.823  0.677
Li  0.000  0.677  0.177
Li  0.000  0.323  0.823
Hg  0.000  0.000  0.000
Hg  0.000  0.500  0.500

---

[5]
## Ag2TeAu (PBE)

Data for a geometry-optimized Ag2TeAu structure.

## Properties
ΔE_f (raw) = 0.081 eV per atom

Lattice parameters (Å, degrees): 5.330 5.330 5.330 131.88 131.99 70.33
Atoms (fractional coordinates):
Au  0.750  0.250  0.500
Ag  0.500  0.500  0.000
Ag  0.000  0.000  0.000
Te  0.250  0.750  0.500

---

[6]
## CdAgAs4 (PBE)

Data for a geometry-optimized CdAgAs4 structure.

## Properties
E_form = 0.3517 eV/atom

Lattice parameters (Å, degrees): 5.631 5.631 5.631 60.00 60.00 60.00
Atoms (fractional coordinates):
As  0.375  0.375  0.375
As  0.375  0.876  0.375
As  0.876  0.375  0.375
As  0.375  0.375  0.876
Ag  0.000  0.000  0.000
Cd  0.750  0.750  0.750

---

[7]
## TbNd2CdC (PBE)

Data for a geometry-optimized TbNd2CdC structure.

## Properties
E_form = -0.1920 eV/atom

Lattice parameters (Å, degrees): 4.904 5.167 5.167 90.00 90.00 90.00
Atoms (fractional coordinates):
Tb  0.500  0.000  0.000
C  0.000  0.000  0.000
Cd  0.500  0.500  0.500
Nd  0.000  0.000  0.500
Nd  0.000  0.500  0.000

---

[8]
## Ba3Ni (PBE)

Data for a geometry-optimized Ba3Ni structure.

## Properties
E_form = 0.1078 eV/atom

Lattice parameters (Å, degrees): 4.225 7.886 11.075 90.00 90.00 90.00
Atoms (fractional coordinates):
Ba  0.000  0.261  0.175
Ba  0.500  0.000  0.484
Ba  0.500  0.761  0.825
Ba  0.000  0.739  0.175
Ba  0.500  0.239  0.825
Ba  0.000  0.500  0.516
Ni  0.500  0.500  0.311
Ni  0.000  0.000  0.689

---

no.,total magnetization (μB per cell)
1,0.00
2,5.19
3,0.91
4,0.00
5,0.00
6,0.00
7,0.00
8,0.00